No. 1
PBEsol ZnTcPb2, optimized geometry; density = 11.839 g/cm³; ΔE_f = 0.71 eV/atom; DFT total energy = -0.3309 Ry per atom
1.0
3.484 0.000 0.000
0.000 4.403 0.000
0.000 0.000 5.283
Zn Tc Pb
1 1 2
Direct
0.000 0.000 0.000
0.500 0.000 0.500
0.000 0.500 0.500
0.500 0.500 0.000

***

No. 2
PBEsol ZnSiP2S, optimized geometry; density = 3.306 g/cm³; DFT total energy = -0.2720 Ry per atom; raw formation energy = 0.958 eV/atom
1.0
4.514 0.000 0.000
0.000 4.514 0.000
0.000 0.000 4.621
Zn Si P S
1 1 2 1
Direct
0.000 0.000 0.000
0.500 0.500 0.500
0.000 0.500 0.000
0.500 0.000 0.000
0.000 0.000 0.500

***

No. 3
PBEsol SrZn4Ag, optimized geometry; density = 7.109 g/cm³; ΔE_f = -0.11 eV/atom; DFT total energy = -0.1489 Ry per atom
1.0
0.000 3.765 3.765
3.765 0.000 3.765
3.765 3.765 0.000
Sr Zn Ag
1 4 1
Direct
0.000 0.000 0.000
0.376 0.376 0.376
0.376 0.376 0.871
0.376 0.871 0.376
0.871 0.376 0.376
0.750 0.750 0.750

***

No. 4
PBEsol Rb3BaRe, optimized geometry; density = 3.234 g/cm³; ΔE_f = 1.53 eV/atom; DFT total energy = -0.1606 Ry per atom
1.0
6.678 0.000 0.000
0.000 6.678 0.000
0.000 0.000 6.678
Rb Ba Re
3 1 1
Direct
0.000 0.000 0.500
0.000 0.500 0.000
0.500 0.000 0.000
0.500 0.500 0.500
0.000 0.000 0.000

***

No. 5
PBEsol ErTaO4, optimized geometry; density = 9.643 g/cm³; DFT total energy = -0.7149 Ry per atom; raw formation energy = -3.314 eV/atom
1.0
3.449 -5.407 0.000
3.449 5.407 0.000
-3.278 0.000 3.807
Er Ta O
2 2 8
Direct
0.132 0.868 0.750
0.868 0.132 0.250
0.399 0.601 0.250
0.601 0.399 0.750
0.128 0.553 0.340
0.225 0.285 0.781
0.285 0.225 0.281
0.447 0.872 0.160
0.553 0.128 0.840
0.715 0.775 0.719
0.775 0.715 0.219
0.872 0.447 0.660

***

No. 6
PBEsol CsRe3S, optimized geometry; density = 12.780 g/cm³; DFT total energy = -0.5280 Ry per atom; raw formation energy = 1.880 eV/atom
1.0
4.547 0.000 0.000
0.000 4.547 0.000
0.000 0.000 4.547
Cs Re S
1 3 1
Direct
0.000 0.000 0.000
0.000 0.500 0.500
0.500 0.000 0.500
0.500 0.500 0.000
0.500 0.500 0.500

***

No. 7
PBEsol Li7Cu6O12, optimized geometry; density = 4.141 g/cm³; DFT total energy = -0.3864 Ry per atom; raw formation energy = -1.147 eV/atom
1.0
5.130 0.000 0.000
-1.011 6.404 0.000
-2.205 -2.015 7.592
Li Cu O
7 6 12
Direct
0.000 0.000 0.000
0.000 0.023 0.333
0.000 0.977 0.667
0.087 0.388 0.908
0.087 0.389 0.589
0.913 0.611 0.411
0.913 0.612 0.092
0.445 0.764 0.868
0.452 0.776 0.206
0.453 0.771 0.537
0.547 0.229 0.463
0.548 0.224 0.794
0.555 0.236 0.132
0.192 0.733 0.320
0.193 0.701 0.645
0.193 0.701 0.986
0.286 0.170 0.577
0.293 0.173 0.911
0.297 0.180 0.244
0.703 0.820 0.756
0.707 0.827 0.089
0.714 0.830 0.423
0.807 0.299 0.014
0.807 0.299 0.355
0.808 0.267 0.680

***

No. 8
PBEsol ZrRe2Ru, optimized geometry; density = 14.991 g/cm³; ΔE_f = 0.17 eV/atom; DFT total energy = -0.8312 Ry per atom; polymorph energy (0 for the lowest one) = 200.5 meV/atom
1.0
1.392 0.804 9.322
-1.392 0.804 9.322
0.000 -1.607 9.322
Zr Re Ru
1 2 1
Direct
0.000 0.000 0.000
0.503 0.503 0.503
0.759 0.759 0.759
0.245 0.245 0.245